[1]
{"formula": "Na2SrCl", "functional": "PBE", "state": "relaxed", "lattice_angstrom": [[2.0191, 1.1657, 10.9338], [-2.0191, 1.1657, 10.9338], [0.0000, -2.3315, 10.9338]], "species": ["Na", "Na", "Sr", "Cl"], "fractional_positions": [[0.1159, 0.1159, 0.1159], [0.8841, 0.8841, 0.8841], [0.0000, 0.0000, 0.0000], [0.5000, 0.5000, 0.5000]], "crystal_system": "trigonal", "e_form_raw_kj_per_mol_atoms": -69.6, "relative_energy_ev_per_atom": 0.000, "dos_at_fermi_per_ev_cell": 2.59, "space_group": "No. 166", "vol_a3_per_cell": 154.4}


[2]
{"formula": "AcPmRuPb", "functional": "PBE", "state": "relaxed", "lattice_angstrom": [[0.0000, 3.8360, 3.8360], [3.8360, 0.0000, 3.8360], [3.8360, 3.8360, 0.0000]], "species": ["Ac", "Pm", "Ru", "Pb"], "fractional_positions": [[0.0000, 0.0000, 0.0000], [0.5000, 0.5000, 0.5000], [0.2500, 0.2500, 0.2500], [0.7500, 0.7500, 0.7500]], "formation_enthalpy_0k_ev_per_atom": -0.079, "crystal_system": "cubic", "dos_at_fermi_per_ev_cell": 2.88, "space_group": "No. 216", "vol_a3_per_cell": 112.9}


[3]
{"formula": "AgOs2PbO8", "functional": "PBE", "state": "relaxed", "lattice_angstrom": [[6.0356, 0.0000, 0.0000], [-3.0178, 5.2270, 0.0000], [0.0000, 0.0000, 7.2565]], "species": ["Ag", "Os", "Os", "Pb", "O", "O", "O", "O", "O", "O", "O", "O"], "fractional_positions": [[0.0000, 0.0000, 0.0000], [0.3333, 0.6667, 0.2948], [0.6667, 0.3333, 0.7052], [0.0000, 0.0000, 0.5000], [0.1668, 0.3336, 0.2345], [0.1668, 0.8332, 0.2345], [0.3333, 0.6667, 0.5397], [0.3336, 0.1668, 0.7655], [0.6664, 0.8332, 0.2345], [0.6667, 0.3333, 0.4603], [0.8332, 0.1668, 0.7655], [0.8332, 0.6664, 0.7655]], "crystal_system": "trigonal", "e_form_raw_kj_per_mol_atoms": -75.4, "dos_at_fermi_per_ev_cell": 7.33, "space_group": "No. 164", "vol_a3_per_cell": 228.9}


[4]
{"formula": "CaY2Sb", "functional": "PBE", "state": "relaxed", "lattice_angstrom": [[4.1287, 0.0000, 0.0000], [0.0000, 4.1287, 0.0000], [0.0000, 0.0000, 7.1338]], "species": ["Ca", "Y", "Y", "Sb"], "fractional_positions": [[0.0000, 0.0000, 0.0000], [0.0000, 0.0000, 0.4508], [0.5000, 0.5000, 0.7069], [0.5000, 0.5000, 0.2424]], "crystal_system": "tetragonal", "e_form_raw_kj_per_mol_atoms": -44.4, "relative_energy_ev_per_atom": 0.000, "dos_at_fermi_per_ev_cell": 3.86, "space_group": "No. 99", "vol_a3_per_cell": 121.6}


Number 1: total energy -0.08315 Ha/atom. Number 2: total energy -0.20357 Ha/atom. Number 3: total energy -0.23907 Ha/atom. Number 4: total energy -0.19193 Ha/atom.